# PBE CaZn2Sb, optimized geometry
data_CaZn2Sb
_chemical_formula_sum 'Ca1 Zn2 Sb1'
_space_group_name_H-M_alt 'P 1'
_space_group_IT_number 1
_cell_length_a 5.142
_cell_length_b 5.142
_cell_length_c 5.142
_cell_angle_alpha 60.00
_cell_angle_beta 60.00
_cell_angle_gamma 60.00
loop_
_space_group_symop_operation_xyz
'x,y,z'
loop_
_atom_site_label
_atom_site_type_symbol
_atom_site_fract_x
_atom_site_fract_y
_atom_site_fract_z
_atom_site_occupancy
Sb1 Sb 0.750 0.750 0.750 1
Ca1 Ca 0.500 0.500 0.500 1
Zn1 Zn 0.000 0.000 0.000 1
Zn2 Zn 0.250 0.250 0.250 1
# space-group type	F-43m
# formation energy without anion corrections	-0.1566	eV/atom
# calculated volume	24.03	Å³/atom
# electronic total energy	-2.32	eV/atom